(1)
VASP calculation (PBE) on a relaxed structure of ThMgGa2Pt5.

- ΔH_f (0 K): -0.79 eV per atom
- Calculated density: 13635 kg/m3

The structure in CIF format:
```
data_ThMgGa2Pt5
_cell_length_a 4.198
_cell_length_b 4.198
_cell_length_c 9.478
_cell_angle_alpha 90.00
_cell_angle_beta 90.00
_cell_angle_gamma 90.00
_space_group_name_H-M_alt 'P 4/m m m'
_space_group_IT_number 123
_space_group_name_Hall '-P 4 2'
loop_
_atom_site_label
_atom_site_type_symbol
_atom_site_fract_x
_atom_site_fract_y
_atom_site_fract_z
Th1 Th 0.000 0.000 0.000
Mg1 Mg 0.000 0.000 0.500
Ga1 Ga 0.500 0.500 0.373
Pt1 Pt 0.000 0.500 0.228
Pt2 Pt 0.500 0.500 0.000
```

(2)
VASP calculation (PBE) on a relaxed structure of AgP2CS.

- Relative energy among the computed polymorphs: 1269 meV per atom
- ΔE_f (raw): 12.26 eV/f.u.
- Calculated density: 3181 kg/m3

The structure in CIF format:
```
data_AgP2CS
_cell_length_a 4.802
_cell_length_b 4.802
_cell_length_c 4.842
_cell_angle_alpha 90.00
_cell_angle_beta 90.00
_cell_angle_gamma 90.00
_space_group_name_H-M_alt 'P 4/m m m'
_space_group_IT_number 123
_space_group_name_Hall '-P 4 2'
loop_
_atom_site_label
_atom_site_type_symbol
_atom_site_fract_x
_atom_site_fract_y
_atom_site_fract_z
Ag1 Ag 0.000 0.000 0.000
P1 P 0.000 0.500 0.000
C1 C 0.500 0.500 0.500
S1 S 0.000 0.000 0.500
```

(3)
VASP calculation (PBE) on a relaxed structure of CoReTc2.

- ΔH_f (0 K): 0.28 eV per atom
- Relative energy among the computed polymorphs: 256 meV per atom
- Calculated density: 13090 kg/m3

The structure in CIF format:
```
data_CoReTc2
_cell_length_a 6.072
_cell_length_b 6.072
_cell_length_c 6.072
_cell_angle_alpha 90.00
_cell_angle_beta 90.00
_cell_angle_gamma 90.00
_space_group_name_H-M_alt 'F -4 3 m'
_space_group_IT_number 216
_space_group_name_Hall 'F -4 2 3'
loop_
_atom_site_label
_atom_site_type_symbol
_atom_site_fract_x
_atom_site_fract_y
_atom_site_fract_z
Co1 Co 0.000 0.000 0.000
Re1 Re 0.250 0.250 0.750
Tc1 Tc 0.000 0.000 0.500
Tc2 Tc 0.250 0.250 0.250
```

(4)
VASP calculation (PBE) on a relaxed structure of CuTcSe2.

- Relative energy among the computed polymorphs: 34 meV per atom
- ΔE_f (raw): 0.00 eV/f.u.
- Calculated density: 6219 kg/m3

The structure in CIF format:
```
data_CuTcSe2
_cell_length_a 3.6200
_cell_length_b 3.6200
_cell_length_c 22.5503
_cell_angle_alpha 90.00
_cell_angle_beta 90.00
_cell_angle_gamma 120.00
_space_group_name_H-M_alt 'R -3 m'
_space_group_IT_number 166
_space_group_name_Hall '-R 3 2"'
loop_
_atom_site_label
_atom_site_type_symbol
_atom_site_fract_x
_atom_site_fract_y
_atom_site_fract_z
Cu1 Cu 0.0000 0.0000 0.0000
Tc1 Tc 0.0000 0.0000 0.5000
Se1 Se 0.0000 0.0000 0.1016
```

(5)
VASP calculation (PBE) on a relaxed structure of CeSmIr.

- ΔH_f (0 K): -0.53 eV per atom
- Relative energy among the computed polymorphs: 35 meV per atom
- Calculated density: 10622 kg/m3

The structure in CIF format:
```
data_CeSmIr
_cell_length_a 3.893
_cell_length_b 4.783
_cell_length_c 8.105
_cell_angle_alpha 90.00
_cell_angle_beta 90.02
_cell_angle_gamma 90.00
_space_group_name_H-M_alt 'P 1 21/m 1'
_space_group_IT_number 11
loop_
_space_group_symop_operation_xyz
'x,y,z'
'-x,-y,-z'
'-x,y+1/2,-z'
'x,-y+1/2,z'
loop_
_atom_site_label
_atom_site_type_symbol
_atom_site_fract_x
_atom_site_fract_y
_atom_site_fract_z
Ce1 Ce 0.247 0.250 0.454
Sm1 Sm 0.250 0.750 0.133
Ir1 Ir 0.251 0.750 0.780
```

(6)
VASP calculation (PBE) on a relaxed structure of BaReNi.

- ΔH_f (0 K): 0.68 eV per atom
- Relative energy among the computed polymorphs: 0 meV per atom
- Calculated density: 8566 kg/m3

The structure in CIF format:
```
data_BaReNi
_cell_length_a 4.0617
_cell_length_b 4.0617
_cell_length_c 5.1858
_cell_angle_alpha 90.00
_cell_angle_beta 90.00
_cell_angle_gamma 120.00
_space_group_name_H-M_alt 'P -6 m 2'
_space_group_IT_number 187
_space_group_name_Hall 'P -6 2'
loop_
_atom_site_label
_atom_site_type_symbol
_atom_site_fract_x
_atom_site_fract_y
_atom_site_fract_z
Ba1 Ba 0.0000 0.0000 0.0000
Re1 Re 0.3333 0.6667 0.5000
Ni1 Ni 0.6667 0.3333 0.5000
```

(7)
VASP calculation (PBE) on a relaxed structure of FeCoRh.

- ΔH_f (0 K): 0.05 eV per atom
- Relative energy among the computed polymorphs: 42 meV per atom
- Calculated density: 9529 kg/m3

The structure in CIF format:
```
data_FeCoRh
_cell_length_a 2.666
_cell_length_b 3.579
_cell_length_c 7.950
_cell_angle_alpha 90.00
_cell_angle_beta 90.00
_cell_angle_gamma 90.00
_space_group_name_H-M_alt 'I m m 2'
_space_group_IT_number 44
loop_
_space_group_symop_operation_xyz
'x,y,z'
'-x,-y,z'
'-x,y,z'
'x,-y,z'
'x+1/2,y+1/2,z+1/2'
'-x+1/2,-y+1/2,z+1/2'
'-x+1/2,y+1/2,z+1/2'
'x+1/2,-y+1/2,z+1/2'
loop_
_atom_site_label
_atom_site_type_symbol
_atom_site_fract_x
_atom_site_fract_y
_atom_site_fract_z
Fe1 Fe 0.000 0.000 0.000
Co1 Co 0.000 0.000 0.341
Rh1 Rh 0.000 0.000 0.672
```

(8)
VASP calculation (PBE) on a relaxed structure of MoPb5.

- ΔH_f (0 K): 0.46 eV per atom
- Relative energy among the computed polymorphs: 100 meV per atom
- Calculated density: 11173 kg/m3

The structure in CIF format:
```
data_MoPb5
_cell_length_a 5.450
_cell_length_b 3.397
_cell_length_c 18.172
_cell_angle_alpha 90.00
_cell_angle_beta 90.00
_cell_angle_gamma 90.00
_space_group_name_H-M_alt 'A m m 2'
_space_group_IT_number 38
loop_
_space_group_symop_operation_xyz
'x,y,z'
'-x,-y,z'
'-x,y,z'
'x,-y,z'
'x,y+1/2,z+1/2'
'-x,-y+1/2,z+1/2'
'-x,y+1/2,z+1/2'
'x,-y+1/2,z+1/2'
loop_
_atom_site_label
_atom_site_type_symbol
_atom_site_fract_x
_atom_site_fract_y
_atom_site_fract_z
Mo1 Mo 0.000 0.000 0.000
Pb1 Pb 0.000 0.000 0.361
Pb2 Pb 0.000 0.000 0.646
Pb3 Pb 0.500 0.000 0.229
Pb4 Pb 0.500 0.000 0.547
Pb5 Pb 0.500 0.000 0.895
```

calculated density of number 8 (MoPb5)?
11173 kg/m3

Among the records above, which one has the highest calculated density?
ThMgGa2Pt5

Which formula does entry 5 have?
CeSmIr

The lowest calculated density belongs to which entry?
AgP2CS